# MnBr, relaxed, DFT PBE-GGA
data_MnBr
_space_group_name_H-M_alt 'P -3 m 1'
_space_group_IT_number 164
_space_group_name_Hall '-P 3 2"'
_cell_length_a 3.7733
_cell_length_b 3.7733
_cell_length_c 23.9556
_cell_angle_alpha 90.00
_cell_angle_beta 90.00
_cell_angle_gamma 120.00
loop_
_atom_site_label
_atom_site_fract_x
_atom_site_fract_y
_atom_site_fract_z
Mn1 0.0000 0.0000 0.1406
Mn2 0.3333 0.6667 0.4681
Mn3 0.3333 0.6667 0.5807
Br1 0.0000 0.0000 0.3565
Br2 0.3333 0.6667 0.0756
Br3 0.3333 0.6667 0.7944
# Formation energy without anion corrections ... -0.3217 eV per atom